Record 1
Material: MgBi
Method: DFT, PBE
State: optimized geometry

Unit cell a=4.2388 b=4.6294 c=6.1661 alpha=112.28 beta=90.00 gamma=90.00
Positions (direct):
Bi1 0.2500 0.2498 0.7502
Bi2 0.7500 0.7502 0.2498
Mg1 0.7500 0.7491 0.7493
Mg2 0.2500 0.2509 0.2507

Summary:
- Fermi-level density of states (states/eV/cell) = 1.09
- electronic total energy (eV per cell) = -11.407
- E_form (eV per atom) = -0.1138

=====

Record 2
Material: Sb2PbCl
Method: DFT, PBE
State: optimized geometry

Unit cell a=3.4163 b=3.4163 c=10.6609 alpha=90.00 beta=90.00 gamma=119.73
Positions (direct):
Cl1 0.5000 0.5000 0.2500
Sb1 0.0000 0.0000 0.0216
Sb2 0.0000 0.0000 0.4784
Pb1 0.5000 0.5000 0.7500

Summary:
- formation energy from raw total energies (eV per atom) = 0.01
- Fermi-level density of states (states/eV/cell) = 1.59
- electronic total energy (eV per cell) = -13.762
- E above lowest polymorph (meV per atom) = 253

=====

Record 3
Material: TbNd2ErTm6
Method: DFT, PBE
State: optimized geometry

Unit cell a=9.5999 b=8.6972 c=8.6972 alpha=118.14 beta=94.60 gamma=94.60
Positions (direct):
Tm1 0.8131 0.4248 0.9775
Tm2 0.1184 0.7077 0.4958
Tm3 0.6869 0.0225 0.5752
Tb1 0.7500 0.0183 0.9817
Er1 0.7500 0.5934 0.4066
Tm4 0.5577 0.7432 0.1256
Tb2 0.2500 0.9817 0.0183
Nd1 0.5432 0.1937 0.2979
Tm5 0.3131 0.9775 0.4248
Tm6 0.6184 0.4958 0.7077
Er2 0.2500 0.4066 0.5934
Nd2 0.4568 0.8063 0.7021
Tm7 0.9423 0.8744 0.2568
Nd3 0.0432 0.2979 0.1937
Tm8 0.1869 0.5752 0.0225
Tm9 0.8816 0.2923 0.5042
Tm10 0.4423 0.2568 0.8744
Tm11 0.0577 0.1256 0.7432
Tm12 0.3816 0.5042 0.2923
Nd4 0.9568 0.7021 0.8063

Summary:
- Fermi-level density of states (states/eV/cell) = 26.25
- electronic total energy (eV per cell) = -88.749
- E_form (eV per atom) = 0.1183

=====

Record 4
Material: La3Zn6CdGa2
Method: DFT, PBE
State: optimized geometry

Unit cell a=6.2243 b=6.2243 c=8.3146 alpha=90.00 beta=90.00 gamma=120.00
Positions (direct):
La1 0.6667 0.3333 0.3453
Zn1 0.3839 0.1919 0.7033
Cd1 0.0000 0.0000 0.5000
Zn2 0.6161 0.8081 0.2967
La2 0.3333 0.6667 0.6547
Zn3 0.1919 0.8081 0.2967
Zn4 0.1919 0.3839 0.2967
Ga1 0.3333 0.6667 0.0328
Zn5 0.8081 0.1919 0.7033
La3 0.0000 0.0000 0.0000
Zn6 0.8081 0.6161 0.7033
Ga2 0.6667 0.3333 0.9672

Summary:
- Fermi-level density of states (states/eV/cell) = 8.27
- electronic total energy (eV per cell) = -31.678
- E_form (eV per atom) = -0.1903